VASP calculation (PBE-GGA) on an optimized crystal structure of Ti4ZnRh5.

- Theoretical density: 8.7 Mg/m³
- Size of the total moment: 0.0 μB/f.u.
- E_form: -0.74 eV/atom

a = 3.1500 Å, b = 3.1500 Å, c = 14.8879 Å
α = 90.00°, β = 90.00°, γ = 90.00°
Closest atoms and distances in Å follow each position.
Fractional coordinates of all 10 atoms:
Rh 0.5000 0.5000 0.7017  8 Ti 2.69-2.72, 2 Rh 2.93-3.00
Rh 0.5000 0.5000 0.2983  8 Ti 2.69-2.72, 2 Rh 2.93-3.00
Ti 0.0000 0.0000 0.6006  8 Rh 2.68-2.69, 1 Ti 3.00
Ti 0.0000 0.0000 0.8069  8 Rh 2.61-2.72, 1 Zn 2.87
Rh 0.5000 0.5000 0.8987  4 Ti 2.61, 4 Zn 2.69
Rh 0.5000 0.5000 0.5000  8 Ti 2.68, 2 Rh 3.00
Ti 0.0000 0.0000 0.1931  8 Rh 2.61-2.72, 1 Zn 2.87
Rh 0.5000 0.5000 0.1013  4 Ti 2.61, 4 Zn 2.69
Zn 0.0000 0.0000 0.0000  8 Rh 2.69, 2 Ti 2.87
Ti 0.0000 0.0000 0.3994  8 Rh 2.68-2.69, 1 Ti 3.00